# AlNiPt4

Crystalline AlNiPt4 at its relaxed geometry (GGA-PBE, Alexandria).

```
AlNiPt4
1.0
-1.2108 1.1261 3.7801
0.3510 -3.9079 1.2766
5.4467 0.9654 1.4572
Ni Pt Al
1 4 1
direct
0.0013 0.9973 0.4981
0.5013 0.9973 0.2487
0.5013 0.9973 0.7476
0.0013 0.4973 0.7476
0.0013 0.4973 0.2487
0.5013 0.4973 0.9982
```

Results
Magnetic moment, μB/f.u.: 1.2
DFT formation energy, meV/atom: -311.1
N(E_F), states/eV/cell: 5.333
Relative energy among the computed polymorphs, eV/atom: 0.000
Uncorrected energy, eV/atom: -5.9256